First-principles (SCAN) data for a crystal of ZrCr2Pt relaxed with PBEsol, as listed in the Alexandria database.

a b c (Å): 3.4175 4.0891 8.4122
angles (deg): 90.00 90.00 90.00
Space group Immm (No. 71)
Inequivalent atoms, fractional coordinates:
1 Zr 0.0000 0.0000 0.0000
2 Cr 0.0000 0.5000 0.2555
3 Pt 0.0000 0.0000 0.5000

Output
Energy of formation from the pure elements, meV per atom: -35
Calculated volume, Å³/cell: 117.6
Crystal system: orthorhombic